Entry 1:
12
Lattice="4.999 0.000 0.000 0.000 4.999 0.000 0.000 0.000 14.992" Properties=species:S:1:pos:R:3 comment="PBE-GGA Pr2YTm9, relaxed" spacegroup="P4/mmm, No. 123" formation_energy_kj_per_mol_fu=36 polymorph_energy_ev_per_atom=0.000 pbc="T T T"
Tm 0.000 2.499 12.519
Pr 0.000 0.000 4.996
Pr 0.000 0.000 9.996
Tm 2.499 0.000 12.519
Tm 2.499 0.000 7.496
Tm 0.000 2.499 2.473
Tm 2.499 2.499 4.980
Tm 2.499 2.499 10.012
Tm 2.499 2.499 0.000
Y 0.000 0.000 0.000
Tm 0.000 2.499 7.496
Tm 2.499 0.000 2.473


Entry 2:
12
Lattice="11.584 0.058 0.000 10.188 5.514 0.000 -10.886 -2.786 2.816" Properties=species:S:1:pos:R:3 comment="PBE-GGA AlRe2, relaxed" spacegroup="I4_1/amd, No. 141" formation_energy_kj_per_mol_fu=30 pbc="T T T"
Re 8.990 2.300 0.000
Re 5.336 1.365 0.000
Re 7.688 0.514 1.408
Al 1.757 0.450 0.000
Re -0.242 1.391 1.408
Re 16.436 4.206 0.000
Al 3.337 2.307 1.408
Re 12.782 3.271 0.000
Re 10.430 4.122 1.408
Re 3.896 -0.456 1.408
Al 6.851 3.206 1.408
Al 20.015 5.122 0.000


Entry 3:
4
Lattice="3.872 0.000 0.000 0.000 2.676 -0.006 0.000 2.689 5.424" Properties=species:S:1:pos:R:3 comment="PBE-GGA Cr2AgRh, relaxed" spacegroup="Pmmm, No. 47" formation_energy_kj_per_mol_fu=135 pbc="T T T"
Ag 1.936 4.024 4.063
Cr 0.000 2.678 0.225
Rh 1.936 1.341 1.354
Cr 0.000 2.681 2.478


Entry 4:
4
Lattice="-0.330 2.979 -1.480 -4.818 -0.543 -0.020 -0.245 2.020 4.120" Properties=species:S:1:pos:R:3 comment="PBE-GGA Zr2MoW, relaxed" spacegroup="Pmmm, No. 47" formation_energy_kj_per_mol_fu=63 polymorph_energy_ev_per_atom=0.133 pbc="T T T"
W -2.532 0.738 2.050
Zr -2.574 1.218 -0.750
Mo -0.287 2.499 1.320
Zr 0.000 0.000 0.000


Entry 5:
4
Lattice="-2.387 -8.960 2.770 0.332 -9.037 3.446 -1.532 -7.982 5.254" Properties=species:S:1:pos:R:3 comment="PBE-GGA CdAgRu2, relaxed" spacegroup="R-3m, No. 166" formation_energy_kj_per_mol_fu=190 pbc="T T T"
Cd -2.691 -19.484 8.603
Ag -0.897 -6.495 2.868
Ru -1.795 -12.998 5.739
Ru -3.586 -25.970 11.467


Entry 6:
14
Lattice="-4.301 -1.690 1.182 2.262 0.026 8.265 -4.844 13.227 1.284" Properties=species:S:1:pos:R:3 comment="PBE-GGA Rb2SrBr4, relaxed" spacegroup="Pbam, No. 55" raw_formation_energy_ev_per_atom=-1.93 polymorph_energy_ev_per_atom=0.000 pbc="T T T"
Rb -2.387 3.387 5.779
Rb -4.032 10.010 9.261
Rb -4.496 8.176 4.952
Sr -2.422 6.613 0.642
Br -0.739 -0.205 6.639
Br 0.499 4.012 7.547
Br -6.144 11.768 4.092
Br -3.081 9.241 2.002
Br -0.133 2.634 3.282
Sr 1.131 0.013 4.133
Br -2.450 10.619 6.267
Br -3.837 5.153 3.028
Br -3.046 6.410 7.703
Rb -2.851 1.553 1.470


Entry 7:
5
Lattice="-1.715 -2.462 -2.225 2.962 -0.006 -2.277 3.240 -6.078 4.230" Properties=species:S:1:pos:R:3 comment="PBE-GGA PtAuSeN2, relaxed" spacegroup="P4/mmm, No. 123" raw_formation_energy_ev_per_atom=1.11 polymorph_energy_ev_per_atom=0.000 pbc="T T T"
N -0.857 -1.231 -1.112
Pt 0.000 0.000 0.000
Au 2.243 -4.273 -0.136
N 1.481 -0.003 -1.138
Se 1.620 -3.039 2.115


Entry 8:
10
Lattice="-0.743 3.819 -0.975 -3.328 -0.834 7.516 6.370 2.445 4.725" Properties=species:S:1:pos:R:3 comment="PBE-GGA Tb3SbN, relaxed" spacegroup="C2/m, No. 12" raw_formation_energy_ev_per_atom=-0.96 pbc="T T T"
Tb 3.972 4.416 6.022
Sb 2.373 2.515 8.045
N -2.714 3.048 5.758
Tb 2.286 1.671 4.805
Tb -1.673 1.013 5.244
N 5.013 2.381 5.508
Tb 0.013 3.758 6.461
Sb -0.074 2.914 3.221
Tb 1.503 4.931 9.920
Tb 0.796 0.498 1.346


Entry 9:
4
Lattice="-0.814 3.476 -0.641 -2.781 -1.036 -2.085 -3.975 0.043 5.280" Properties=species:S:1:pos:R:3 comment="PBE-GGA LaCdRe2, relaxed" spacegroup="P4/mmm, No. 123" formation_energy_kj_per_mol_fu=310 pbc="T T T"
Re -0.273 0.003 0.363
Re -1.715 0.019 2.278
Cd -2.791 1.231 -0.043
La -4.779 1.252 2.597


Entry 10:
4
Lattice="6.110 -2.885 5.540 -3.220 5.940 -5.540 1.854 -4.648 8.892" Properties=species:S:1:pos:R:3 comment="PBE-GGA Ca2MgHg, relaxed" spacegroup="C2/m, No. 12" formation_energy_kj_per_mol_fu=-41 polymorph_energy_ev_per_atom=0.217 pbc="T T T"
Ca 5.069 -4.795 10.155
Mg 0.000 0.000 0.000
Hg 3.982 -3.766 7.216
Ca -0.325 3.202 -1.264


Entry 11:
4
Lattice="-2.515 -0.146 1.310 1.291 -0.839 2.386 0.600 6.146 1.836" Properties=species:S:1:pos:R:3 comment="PBE-GGA Cr2RuRh, relaxed" spacegroup="P4mm, No. 99" formation_energy_kj_per_mol_fu=40 pbc="T T T"
Rh 0.286 2.929 0.875
Cr 0.014 0.144 0.043
Cr -0.480 0.860 2.252
Ru -0.144 4.301 3.280


Entry 12:
6
Lattice="2.780 0.000 0.804 1.501 4.694 0.017 -0.590 -0.991 7.246" Properties=species:S:1:pos:R:3 comment="PBE-GGA MgTaPd4, relaxed" spacegroup="C2/m, No. 12" formation_energy_kj_per_mol_fu=-277 pbc="T T T"
Pd 2.574 1.528 6.725
Pd 0.736 -0.301 2.662
Mg 1.846 1.851 4.033
Pd 1.118 2.174 1.342
Pd 2.955 4.003 5.405
Ta 0.000 0.000 0.000


| no. | size of the total moment (μB per cell) |
| --- | --- |
| 1 | 0.0 |
| 2 | 0.0 |
| 3 | 0.0 |
| 4 | 0.0 |
| 5 | 1.3 |
| 6 | 0.0 |
| 7 | 0.2 |
| 8 | 0.0 |
| 9 | 0.0 |
| 10 | 0.0 |
| 11 | 0.0 |
| 12 | 0.0 |